{"formula": "NiHgPdF6", "functional": "PBE with a Hubbard U", "state": "optimized geometry", "lattice_angstrom": [[5.045, 0.000, 0.000], [0.000, 5.045, 0.000], [0.000, 0.000, 10.243]], "species": ["Ni", "Ni", "Hg", "Hg", "Pd", "Pd", "F", "F", "F", "F", "F", "F", "F", "F", "F", "F", "F", "F"], "frac_coords": [[0.000, 0.000, 0.000], [0.500, 0.500, 0.500], [0.000, 0.000, 0.333], [0.500, 0.500, 0.833], [0.000, 0.000, 0.665], [0.500, 0.500, 0.165], [0.179, 0.179, 0.843], [0.192, 0.192, 0.149], [0.213, 0.213, 0.507], [0.287, 0.713, 0.007], [0.308, 0.692, 0.649], [0.321, 0.679, 0.343], [0.679, 0.321, 0.343], [0.692, 0.308, 0.649], [0.713, 0.287, 0.007], [0.787, 0.787, 0.507], [0.808, 0.808, 0.149], [0.821, 0.821, 0.843]], "spacegroup": "P4_2nm, No. 102", "energy_ev_per_atom": -3.677}